Crystalline CsHS2 at its relaxed geometry, computed with PBEsol.

Output
- E (eV/atom) = -3.110
- SG = R-3m, No. 166
- total moment (μB per atom) = 0.000

Unit cell a=6.3985 b=6.3985 c=6.3985 alpha=37.96 beta=37.96 gamma=37.96
Last column: nearest neighbours and their distance in Å.
Fractional positions:
Cs 0.0000 0.0000 0.0000  2 S 3.18
H 0.5000 0.5000 0.5000  6 S 2.41
S 0.1785 0.1785 0.1785  3 H 2.41, 3 S 2.44
S 0.8215 0.8215 0.8215  3 H 2.41, 3 S 2.44